#w
{
  "formula": "BaSrSc",
  "functional": "PBE-GGA",
  "state": "optimized geometry",
  "volume_a3_per_cell": 127,
  "space_group": "P3m1 (156)",
  "lattice": [[6.224, 0.000, 0.000], [-3.112, 5.391, 0.000], [0.000, 0.000, 3.776]],
  "species": ["Sr", "Ba", "Sc"],
  "fractional_positions": [[0.333, 0.667, 0.666], [0.000, 0.000, 0.008], [0.667, 0.333, 0.326]]
}


#x
{
  "formula": "BaSrSc",
  "functional": "PBE-GGA",
  "state": "optimized geometry",
  "volume_a3_per_cell": 129,
  "space_group": "Fmm2 (42)",
  "lattice": [[9.652, -0.003, 0.002], [8.670, 3.703, 0.029], [0.982, -0.920, 3.589]],
  "species": ["Sc", "Sr", "Ba"],
  "fractional_positions": [[0.332, 0.332, 0.668], [0.682, 0.682, 0.318], [0.986, 0.986, 0.014]]
}


Pick #x: it beats the second-best structure by 22 meV per atom.


#w
{
  "formula": "Ba2Sr2Sc",
  "functional": "PBE-GGA",
  "state": "optimized geometry",
  "volume_a3_per_cell": 250,
  "space_group": "I4/mmm (139)",
  "lattice": [[8.834, -0.674, 6.487], [3.533, -3.794, 9.680], [-5.316, -0.770, -9.578]],
  "species": ["Ba", "Ba", "Sr", "Sr", "Sc"],
  "fractional_positions": [[0.250, 0.750, 0.500], [0.750, 0.250, 0.500], [0.588, 0.588, 0.000], [0.412, 0.412, 0.000], [0.000, 0.000, 0.000]]
}


#x
{
  "formula": "Ba2Sr2Sc",
  "functional": "PBE-GGA",
  "state": "optimized geometry",
  "volume_a3_per_cell": 265,
  "space_group": "I4/mmm (139)",
  "lattice": [[4.953, 0.000, 0.000], [0.000, 4.953, 0.000], [2.477, 2.477, 10.783]],
  "species": ["Ba", "Ba", "Sr", "Sr", "Sc"],
  "fractional_positions": [[0.589, 0.589, 0.822], [0.411, 0.411, 0.178], [0.750, 0.250, 0.500], [0.250, 0.750, 0.500], [0.000, 0.000, 0.000]]
}


#y
{
  "formula": "Ba2Sr2Sc",
  "functional": "PBE-GGA",
  "state": "optimized geometry",
  "volume_a3_per_cell": 513,
  "space_group": "P4/mbm (127)",
  "lattice": [[9.031, 0.000, 0.000], [0.000, 9.031, 0.000], [0.000, 0.000, 6.284]],
  "species": ["Ba", "Ba", "Ba", "Ba", "Sc", "Sc", "Sr", "Sr", "Sr", "Sr"],
  "fractional_positions": [[0.146, 0.354, 0.000], [0.854, 0.646, 0.000], [0.646, 0.146, 0.000], [0.354, 0.854, 0.000], [0.500, 0.500, 0.000], [0.000, 0.000, 0.000], [0.174, 0.674, 0.500], [0.326, 0.174, 0.500], [0.826, 0.326, 0.500], [0.674, 0.826, 0.500]]
}


Pick #y: it beats the second-best structure by 85 meV per atom.


#w
{
  "formula": "BaSc3Ta",
  "functional": "PBE-GGA",
  "state": "optimized geometry",
  "volume_a3_per_cell": 136,
  "space_group": "Pm-3m (221)",
  "lattice": [[5.139, 0.000, 0.000], [0.000, 5.139, 0.000], [0.000, 0.000, 5.139]],
  "species": ["Sc", "Sc", "Sc", "Ta", "Ba"],
  "fractional_positions": [[0.500, 0.000, 0.000], [0.000, 0.500, 0.000], [0.000, 0.000, 0.500], [0.500, 0.500, 0.500], [0.000, 0.000, 0.000]]
}


#x
{
  "formula": "BaSc3Ta",
  "functional": "PBE-GGA",
  "state": "optimized geometry",
  "volume_a3_per_cell": 156,
  "space_group": "Pm-3m (221)",
  "lattice": [[-1.023, 2.510, -4.648], [2.805, -3.753, -2.645], [-4.476, -2.926, -0.595]],
  "species": ["Sc", "Sc", "Sc", "Ta", "Ba"],
  "fractional_positions": [[0.000, 0.500, 0.000], [0.500, 0.000, 0.000], [0.000, 0.000, 0.500], [0.000, 0.000, 0.000], [0.500, 0.500, 0.500]]
}


Pick #x: it beats the second-best structure by 1215 meV per atom.


#w
{
  "formula": "BaSc2Tc",
  "functional": "PBE-GGA",
  "state": "optimized geometry",
  "volume_a3_per_cell": 105,
  "space_group": "R-3m (166)",
  "lattice": [[10.391, -0.007, -0.004], [9.822, 3.392, -0.004], [9.822, 1.645, 2.967]],
  "species": ["Ba", "Tc", "Sc", "Sc"],
  "fractional_positions": [[0.750, 0.750, 0.750], [0.250, 0.250, 0.250], [0.524, 0.524, 0.524], [0.976, 0.976, 0.976]]
}


#x
{
  "formula": "BaSc2Tc",
  "functional": "PBE-GGA",
  "state": "optimized geometry",
  "volume_a3_per_cell": 111,
  "space_group": "P4mm (99)",
  "lattice": [[-0.796, -2.180, 2.896], [1.251, -2.948, -1.875], [7.393, 1.248, 2.972]],
  "species": ["Sc", "Sc", "Tc", "Ba"],
  "fractional_positions": [[0.000, 0.000, 0.087], [0.500, 0.500, 0.299], [0.000, 0.000, 0.404], [0.500, 0.500, 0.710]]
}


Pick #x: it beats the second-best structure by 32 meV per atom.


#w
{
  "formula": "BaSc2Tc",
  "functional": "PBE-GGA",
  "state": "optimized geometry",
  "volume_a3_per_cell": 96,
  "space_group": "F-43m (216)",
  "lattice": [[5.133, 0.000, 0.000], [2.566, 4.445, 0.000], [2.566, 1.482, 4.191]],
  "species": ["Sc", "Sc", "Tc", "Ba"],
  "fractional_positions": [[0.250, 0.250, 0.250], [0.000, 0.000, 0.000], [0.750, 0.750, 0.750], [0.500, 0.500, 0.500]]
}


#x
{
  "formula": "BaSc2Tc",
  "functional": "PBE-GGA",
  "state": "optimized geometry",
  "volume_a3_per_cell": 311,
  "space_group": "I4_1/amd (141)",
  "lattice": [[-2.935, -5.404, -4.461], [1.900, -5.269, 5.133], [-5.297, -4.722, 2.735]],
  "species": ["Ba", "Ba", "Sc", "Sc", "Sc", "Sc", "Tc", "Tc"],
  "fractional_positions": [[0.750, 0.250, 0.500], [0.000, 0.000, 0.000], [0.875, 0.625, 0.750], [0.375, 0.625, 0.250], [0.375, 0.625, 0.750], [0.375, 0.125, 0.250], [0.500, 0.500, 0.000], [0.250, 0.750, 0.500]]
}


Pick #x: it beats the second-best structure by 85 meV per atom.


#w
{
  "formula": "BaSc2Tc",
  "functional": "PBE-GGA",
  "state": "optimized geometry",
  "volume_a3_per_cell": 113,
  "space_group": "C2/m (12)",
  "lattice": [[4.225, 0.004, -0.003], [2.849, 3.120, -0.003], [0.845, 0.373, 8.576]],
  "species": ["Sc", "Sc", "Ba", "Tc"],
  "fractional_positions": [[0.477, 0.477, 0.597], [0.023, 0.023, 0.903], [0.250, 0.250, 0.250], [0.750, 0.750, 0.750]]
}


#x
{
  "formula": "BaSc2Tc",
  "functional": "PBE-GGA",
  "state": "optimized geometry",
  "volume_a3_per_cell": 118,
  "space_group": "Imm2 (44)",
  "lattice": [[8.242, 0.073, -0.021], [6.272, 5.347, 0.021], [-6.964, -3.493, 2.688]],
  "species": ["Sc", "Sc", "Ba", "Tc"],
  "fractional_positions": [[0.645, 0.145, 0.500], [0.010, 0.010, 0.000], [0.328, 0.828, 0.500], [0.516, 0.516, 0.000]]
}


#y
{
  "formula": "BaSc2Tc",
  "functional": "PBE-GGA",
  "state": "optimized geometry",
  "volume_a3_per_cell": 107,
  "space_group": "P4/mmm (123)",
  "lattice": [[3.372, 0.000, 0.000], [0.000, 3.372, 0.000], [0.000, 0.000, 9.422]],
  "species": ["Sc", "Sc", "Tc", "Ba"],
  "fractional_positions": [[0.000, 0.000, 0.407], [0.000, 0.000, 0.093], [0.500, 0.500, 0.250], [0.500, 0.500, 0.750]]
}


#z
{
  "formula": "BaSc2Tc",
  "functional": "PBE-GGA",
  "state": "optimized geometry",
  "volume_a3_per_cell": 92,
  "space_group": "Cmmm (65)",
  "lattice": [[5.058, 0.471, -0.577], [-1.793, 4.752, -0.577], [0.354, 0.567, 3.565]],
  "species": ["Sc", "Sc", "Tc", "Ba"],
  "fractional_positions": [[0.500, 0.500, 0.000], [0.000, 0.000, 0.000], [0.500, 0.000, 0.500], [0.000, 0.500, 0.500]]
}


Pick #y: it beats the second-best structure by 164 meV per atom.


#w
{
  "formula": "BaSc2Tc",
  "functional": "PBE-GGA",
  "state": "optimized geometry",
  "volume_a3_per_cell": 117,
  "space_group": "Amm2 (38)",
  "lattice": [[4.723, 0.000, 0.000], [0.000, 3.615, -0.006], [0.000, 1.816, 6.850]],
  "species": ["Sc", "Sc", "Ba", "Tc"],
  "fractional_positions": [[0.500, 0.431, 0.264], [0.000, 0.002, 0.122], [0.500, 0.710, 0.705], [0.000, 0.358, 0.409]]
}


#x
{
  "formula": "BaSc2Tc",
  "functional": "PBE-GGA",
  "state": "optimized geometry",
  "volume_a3_per_cell": 93,
  "space_group": "Fm-3m (225)",
  "lattice": [[0.000, 3.599, 3.599], [3.599, 0.000, 3.599], [3.599, 3.599, 0.000]],
  "species": ["Tc", "Sc", "Sc", "Ba"],
  "fractional_positions": [[0.000, 0.000, 0.000], [0.750, 0.750, 0.750], [0.250, 0.250, 0.250], [0.500, 0.500, 0.500]]
}


Pick #w: it beats the second-best structure by 207 meV per atom.


#w
{
  "formula": "BaSc2Tc",
  "functional": "PBE-GGA",
  "state": "optimized geometry",
  "volume_a3_per_cell": 104,
  "space_group": "R3m (160)",
  "lattice": [[-4.073, -9.626, 1.942], [-1.850, -10.458, -0.479], [-0.836, -10.235, 2.749]],
  "species": ["Sc", "Sc", "Tc", "Ba"],
  "fractional_positions": [[0.235, 0.235, 0.235], [0.990, 0.990, 0.990], [0.510, 0.510, 0.510], [0.765, 0.765, 0.765]]
}


#x
{
  "formula": "BaSc2Tc",
  "functional": "PBE-GGA",
  "state": "optimized geometry",
  "volume_a3_per_cell": 105,
  "space_group": "R-3m (166)",
  "lattice": [[1.948, 0.000, 10.670], [-0.974, 1.687, 10.670], [-0.974, -1.687, 10.670]],
  "species": ["Tc", "Ba", "Sc", "Sc"],
  "fractional_positions": [[0.500, 0.500, 0.500], [0.000, 0.000, 0.000], [0.109, 0.109, 0.109], [0.891, 0.891, 0.891]]
}


Pick #x: it beats the second-best structure by 275 meV per atom.